(1)
A plane-wave DFT calculation with PBE was carried out for a relaxed structure of Li3Cd2Hg2.

Cell and atoms, written as extended XYZ:
```
7
Lattice="4.886 -2.034 0.000 4.886 2.034 0.000 -0.991 0.000 6.893" Properties=species:S:1:pos:R:3 pbc="T T T"
Li 0.000 0.000 0.000
Li 1.983 0.000 5.835
Li 6.797 0.000 1.058
Cd 0.922 0.000 2.878
Cd 7.859 0.000 4.014
Hg 3.815 0.000 1.645
Hg 4.966 0.000 5.248
```

## Properties
**Space-group type**: C2/m, No. 12
**Energy above the most stable polymorph in this dataset**: 0.013 eV per atom
**D(E_F)**: 2.0 states/eV per cell
**Formation energy from the elements**: -1.77 eV/f.u.
**VASP energy**: -1.421 eV/atom

---

(2)
A plane-wave DFT calculation with PBE was carried out for a relaxed structure of PbCl5.

Cell and atoms, written as extended XYZ:
```
6
Lattice="6.833 0.000 0.000 0.000 2.086 5.799 0.000 -2.086 5.799" Properties=species:S:1:pos:R:3 pbc="T T T"
Pb 0.000 0.000 0.000
Cl 0.000 0.000 3.996
Cl 0.000 0.000 7.570
Cl 3.416 0.000 1.439
Cl 3.416 0.000 5.280
Cl 3.416 0.000 9.221
```

## Properties
**Space-group type**: Amm2, No. 38
**Energy above the most stable polymorph in this dataset**: 0.299 eV per atom
**D(E_F)**: 4.1 states/eV per cell
**Formation energy (no corrections)**: -0.20 eV per atom
**VASP energy**: -2.353 eV/atom

---

(3)
A plane-wave DFT calculation with PBE was carried out for a relaxed structure of HoTh3Mn.

Cell and atoms, written as extended XYZ:
```
5
Lattice="5.313 0.000 0.000 0.000 5.313 0.000 0.000 0.000 5.313" Properties=species:S:1:pos:R:3 pbc="T T T"
Ho 0.000 0.000 0.000
Th 0.000 2.657 2.657
Th 2.657 0.000 2.657
Th 2.657 2.657 0.000
Mn 2.657 2.657 2.657
```

## Properties
**Space-group type**: Pm-3m, No. 221
**D(E_F)**: 9.1 states/eV per cell
**Formation energy from the elements**: 0.73 eV/f.u.
**VASP energy**: -7.056 eV/atom